1.
Entry from the Open Quantum Materials Database: crystalline Sm3Mg3GaAu2 at its relaxed geometry (PBE).

Calculated total energy ... -3.73 eV/atom

abc: 7.6025 7.6025 4.2968
angles: 90.00 90.00 120.00
Atoms (fractional coordinates):
1 Sm 0.0000 0.5867 0.0000
2 Ga 0.0000 0.0000 0.0000
3 Au 0.6667 0.3333 0.5000
4 Mg 0.0000 0.2425 0.5000
5 Sm 0.4133 0.4133 0.0000
6 Mg 0.7575 0.7575 0.5000
7 Mg 0.2425 0.0000 0.5000
8 Sm 0.5867 0.0000 0.0000
9 Au 0.3333 0.6667 0.5000

2.
Entry from the Open Quantum Materials Database: crystalline ZrTaCuGe at its relaxed geometry (PBE).

E above lowest polymorph ... 0.0 meV per atom
Calculated total energy ... -6.85 eV/atom

abc: 4.6058 4.6058 4.6058
angles: 60.00 60.00 60.00
Atoms (fractional coordinates):
1 Cu 0.7500 0.7500 0.7500
2 Ta 0.2500 0.2500 0.2500
3 Zr 0.5000 0.5000 0.5000
4 Ge 0.0000 0.0000 0.0000

3.
Entry from the Open Quantum Materials Database: crystalline RbMgZn at its relaxed geometry (PBE).

E above lowest polymorph ... 126.0 meV per atom
Calculated total energy ... -0.69 eV/atom

abc: 5.8326 5.8326 5.8326
angles: 60.00 60.00 60.00
Atoms (fractional coordinates):
1 Zn 0.7500 0.7500 0.7500
2 Mg 0.2500 0.2500 0.2500
3 Rb 0.0000 0.0000 0.0000

4.
Entry from the Open Quantum Materials Database: crystalline LuZnFeCo at its relaxed geometry (PBE).

E above lowest polymorph ... 0.0 meV per atom
Calculated total energy ... -5.28 eV/atom
DFT formation energy ... 0.074 eV per formula unit

abc: 4.4486 4.4486 4.4486
angles: 60.00 60.00 60.00
Atoms (fractional coordinates):
1 Co 0.5000 0.5000 0.5000
2 Fe 0.7500 0.7500 0.7500
3 Zn 0.0000 0.0000 0.0000
4 Lu 0.2500 0.2500 0.2500

5.
Entry from the Open Quantum Materials Database: crystalline TaNbHg at its relaxed geometry (PBE).

Calculated total energy ... -6.26 eV/atom
DFT formation energy ... 3.460 eV per formula unit

abc: 4.5846 4.5846 4.5846
angles: 60.00 60.00 60.00
Atoms (fractional coordinates):
1 Nb 0.7500 0.7500 0.7500
2 Hg 0.2500 0.2500 0.2500
3 Ta 0.0000 0.0000 0.0000

6.
Entry from the Open Quantum Materials Database: crystalline DyPd at its relaxed geometry (PBE).

Calculated total energy ... -5.78 eV/atom
DFT formation energy ... -1.793 eV per formula unit

abc: 3.4939 3.4939 3.4939
angles: 90.00 90.00 90.00
Atoms (fractional coordinates):
1 Pd 0.5000 0.5000 0.5000
2 Dy 0.0000 0.0000 0.0000

7.
Entry from the Open Quantum Materials Database: crystalline ScFePbAu at its relaxed geometry (PBE).

E above lowest polymorph ... 0.0 meV per atom
Calculated total energy ... -5.47 eV/atom

abc: 4.6966 4.6966 4.6966
angles: 60.00 60.00 60.00
Atoms (fractional coordinates):
1 Fe 0.7500 0.7500 0.7500
2 Au 0.5000 0.5000 0.5000
3 Pb 0.0000 0.0000 0.0000
4 Sc 0.2500 0.2500 0.2500

8.
Entry from the Open Quantum Materials Database: crystalline NaMoAu3S4 at its relaxed geometry (PBE).

Calculated total energy ... -4.44 eV/atom

abc: 6.0580 6.0580 6.0580
angles: 90.00 90.00 90.00
Atoms (fractional coordinates):
1 Mo 0.5000 0.5000 0.5000
2 Au 0.5000 0.5000 0.0000
3 Na 0.0000 0.0000 0.0000
4 S 0.2749 0.2749 0.2749
5 S 0.2749 0.7251 0.7251
6 S 0.7251 0.7251 0.2749
7 S 0.7251 0.2749 0.7251
8 Au 0.5000 0.0000 0.5000
9 Au 0.0000 0.5000 0.5000

9.
Entry from the Open Quantum Materials Database: crystalline FeCuReGe at its relaxed geometry (PBE).

E above lowest polymorph ... 0.0 meV per atom
Calculated total energy ... -7.01 eV/atom

abc: 4.2225 4.2225 4.2225
angles: 60.00 60.00 60.00
Atoms (fractional coordinates):
1 Re 0.2500 0.2500 0.2500
2 Fe 0.5000 0.5000 0.5000
3 Cu 0.7500 0.7500 0.7500
4 Ge 0.0000 0.0000 0.0000

10.
Entry from the Open Quantum Materials Database: crystalline La2PrTm3Te2Os at its relaxed geometry (PBE).

Calculated total energy ... -5.84 eV/atom

abc: 4.1762 8.4391 8.4391
angles: 119.60 90.00 90.00
Atoms (fractional coordinates):
1 Tm 0.5000 0.2277 0.2277
2 Tm 0.5000 0.7711 0.9974
3 Te 0.5000 0.3348 0.6659
4 Pr 0.0000 0.6018 0.6018
5 Te 0.5000 0.6659 0.3348
6 La 0.0000 0.0012 0.3982
7 La 0.0000 0.3982 0.0012
8 Tm 0.5000 0.9974 0.7711
9 Os 0.0000 0.0019 0.0019

11.
Entry from the Open Quantum Materials Database: crystalline Al2CdW at its relaxed geometry (PBE).

Calculated total energy ... -4.73 eV/atom

abc: 4.5742 4.5742 4.5742
angles: 60.00 60.00 60.00
Atoms (fractional coordinates):
1 Al 0.2500 0.2500 0.2500
2 Cd 0.5000 0.5000 0.5000
3 Al 0.0000 0.0000 0.0000
4 W 0.7500 0.7500 0.7500

12.
Entry from the Open Quantum Materials Database: crystalline CsPtWAu at its relaxed geometry (PBE).

E above lowest polymorph ... 139.2 meV per atom
Calculated total energy ... -4.19 eV/atom

abc: 4.8328 4.8328 4.8328
angles: 60.00 60.00 60.00
Atoms (fractional coordinates):
1 Au 0.7500 0.7500 0.7500
2 W 0.0000 0.0000 0.0000
3 Cs 0.2500 0.2500 0.2500
4 Pt 0.5000 0.5000 0.5000

13.
Entry from the Open Quantum Materials Database: crystalline Ba2FePtS6 at its relaxed geometry (PBE).

Calculated total energy ... -5.09 eV/atom

abc: 6.7838 6.7838 6.7838
angles: 120.00 90.00 120.00
Atoms (fractional coordinates):
1 S 0.2476 0.0000 0.7524
2 S 0.2476 0.0000 0.2476
3 Ba 0.7500 0.5000 0.2500
4 Fe 0.0000 0.0000 0.0000
5 S 0.7524 0.5048 0.7524
6 S 0.7524 0.0000 0.2476
7 Pt 0.5000 0.0000 0.5000
8 Ba 0.2500 0.5000 0.7500
9 S 0.7524 0.0000 0.7524
10 S 0.2476 0.4952 0.2476

14.
Entry from the Open Quantum Materials Database: crystalline GdLuTe3Pb at its relaxed geometry (PBE).

Calculated total energy ... -4.59 eV/atom

abc: 7.9756 7.9756 11.8464
angles: 90.00 90.00 147.90
Atoms (fractional coordinates):
1 Te 0.3583 0.6417 0.4563
2 Gd 0.0000 0.0000 0.0000
3 Te 0.0930 0.9070 0.2500
4 Pb 0.7975 0.2025 0.2500
5 Gd 0.0000 0.0000 0.5000
6 Lu 0.5332 0.4668 0.7500
7 Te 0.3583 0.6417 0.0437
8 Te 0.9070 0.0930 0.7500
9 Te 0.6417 0.3583 0.5437
10 Te 0.6417 0.3583 0.9563
11 Lu 0.4668 0.5332 0.2500
12 Pb 0.2025 0.7975 0.7500

15.
Entry from the Open Quantum Materials Database: crystalline CsRbBiAu at its relaxed geometry (PBE).

E above lowest polymorph ... 0.0 meV per atom
Calculated total energy ... -2.71 eV/atom

abc: 7.1758 7.0382 7.0382
angles: 109.47 90.00 90.00
Atoms (fractional coordinates):
1 Cs 0.5000 0.8471 0.5077
2 Cs 0.5000 0.5077 0.8471
3 Rb 0.0000 0.1519 0.4890
4 Au 0.2494 0.0014 0.0014
5 Bi 0.0000 0.7393 0.7393
6 Bi 0.5000 0.2622 0.2622
7 Rb 0.0000 0.4890 0.1519
8 Au 0.7506 0.0014 0.0014

16.
Entry from the Open Quantum Materials Database: crystalline Lu8Fe2C3N3 at its relaxed geometry (PBE).

Calculated total energy ... -7.24 eV/atom

abc: 3.3826 3.3826 25.4147
angles: 90.00 90.00 120.00
Atoms (fractional coordinates):
1 Lu 0.6667 0.3333 0.5531
2 Lu 0.0000 0.0000 0.1667
3 Lu 0.0000 0.0000 0.8333
4 Lu 0.3333 0.6667 0.4469
5 Lu 0.6667 0.3333 0.9426
6 N 0.3333 0.6667 0.6086
7 N 0.0000 0.0000 0.5000
8 Lu 0.0000 0.0000 0.3401
9 Lu 0.0000 0.0000 0.6599
10 C 0.0000 0.0000 0.0000
11 N 0.6667 0.3333 0.3914
12 Fe 0.3333 0.6667 0.2557
13 Lu 0.3333 0.6667 0.0574
14 C 0.3333 0.6667 0.8818
15 C 0.6667 0.3333 0.1182
16 Fe 0.6667 0.3333 0.7443

17.
Entry from the Open Quantum Materials Database: crystalline ZrSc2Co4Ge4 at its relaxed geometry (PBE).

Calculated total energy ... -6.81 eV/atom

abc: 7.4919 7.4919 7.4919
angles: 150.35 127.12 61.80
Atoms (fractional coordinates):
1 Co 0.8723 0.1766 0.6957
2 Sc 0.8716 0.3716 0.5000
3 Co 0.1277 0.8234 0.3043
4 Co 0.5191 0.8234 0.6957
5 Ge 0.1968 0.0000 0.1968
6 Ge 0.2812 0.2812 0.0000
7 Zr 0.5000 0.5000 0.0000
8 Co 0.4809 0.1766 0.3043
9 Ge 0.7188 0.7188 0.0000
10 Sc 0.1284 0.6284 0.5000
11 Ge 0.8032 0.0000 0.8032

18.
Entry from the Open Quantum Materials Database: crystalline HoSiSn at its relaxed geometry (PBE).

E above lowest polymorph ... 159.6 meV per atom
Calculated total energy ... -4.62 eV/atom

abc: 4.8803 4.8803 4.8803
angles: 60.00 60.00 60.00
Atoms (fractional coordinates):
1 Si 0.2500 0.2500 0.2500
2 Sn 0.7500 0.7500 0.7500
3 Ho 0.0000 0.0000 0.0000

19.
Entry from the Open Quantum Materials Database: crystalline BaSrSn2Pd at its relaxed geometry (PBE).

Calculated total energy ... -3.89 eV/atom

abc: 6.7197 6.7197 6.7197
angles: 133.64 133.64 67.64
Atoms (fractional coordinates):
1 Ba 0.9958 0.9958 0.0000
2 Sr 0.5813 0.5813 0.0000
3 Sn 0.2665 0.7665 0.5000
4 Sn 0.7665 0.2665 0.5000
5 Pd 0.3278 0.3278 0.0000

20.
Entry from the Open Quantum Materials Database: crystalline Cs2NaPdBr6 at its relaxed geometry (PBE).

Calculated total energy ... -2.95 eV/atom

abc: 7.7920 7.7920 7.8152
angles: 120.08 120.08 59.82
Atoms (fractional coordinates):
1 Br 0.2335 0.7619 0.2306
2 Na 0.5000 0.5000 0.5000
3 Br 0.7658 0.7658 0.7616
4 Br 0.2342 0.2342 0.2384
5 Br 0.7665 0.2381 0.7694
6 Br 0.2381 0.7665 0.7694
7 Cs 0.7520 0.7520 0.2527
8 Pd 0.0000 0.0000 0.0000
9 Br 0.7619 0.2335 0.2306
10 Cs 0.2480 0.2480 0.7473

21.
Entry from the Open Quantum Materials Database: crystalline Ta8Ni5 at its relaxed geometry (PBE).

E above lowest polymorph ... 307.2 meV per atom
Calculated total energy ... -8.99 eV/atom
DFT formation energy ... 5.743 eV per formula unit

abc: 8.8541 8.8541 8.8541
angles: 36.34 36.34 36.34
Atoms (fractional coordinates):
1 Ni 0.6532 0.6532 0.6532
2 Ni 0.0000 0.0000 0.0000
3 Ta 0.0913 0.5849 0.0913
4 Ta 0.4446 0.4446 0.4446
5 Ni 0.8336 0.8336 0.8336
6 Ta 0.9087 0.9087 0.4151
7 Ni 0.3468 0.3468 0.3468
8 Ta 0.9087 0.4151 0.9087
9 Ni 0.1664 0.1664 0.1664
10 Ta 0.5849 0.0913 0.0913
11 Ta 0.4151 0.9087 0.9087
12 Ta 0.5554 0.5554 0.5554
13 Ta 0.0913 0.0913 0.5849

22.
Entry from the Open Quantum Materials Database: crystalline Cu9Hg2 at its relaxed geometry (PBE).

Calculated total energy ... -2.90 eV/atom
DFT formation energy ... 2.097 eV per formula unit

abc: 2.7018 2.7018 31.5805
angles: 90.00 90.00 120.00
Atoms (fractional coordinates):
1 Cu 0.3333 0.6667 0.4372
2 Cu 0.6667 0.3333 0.5628
3 Cu 0.0000 0.0000 0.3115
4 Cu 0.6667 0.3333 0.7512
5 Cu 0.0000 0.0000 0.5000
6 Cu 0.0000 0.0000 0.6885
7 Hg 0.3333 0.6667 0.8343
8 Cu 0.6667 0.3333 0.3745
9 Cu 0.3333 0.6667 0.6255
10 Hg 0.6667 0.3333 0.1657
11 Cu 0.3333 0.6667 0.2488

23.
Entry from the Open Quantum Materials Database: crystalline RbMg2Cd2Sb3 at its relaxed geometry (PBE).

E above lowest polymorph ... 0.0 meV per atom
Calculated total energy ... -2.63 eV/atom

abc: 4.7154 4.7346 11.2666
angles: 90.00 90.00 90.00
Atoms (fractional coordinates):
1 Cd 0.0000 0.5000 0.3329
2 Mg 0.5000 0.0000 0.6666
3 Cd 0.0000 0.5000 0.6671
4 Sb 0.5000 0.5000 0.8132
5 Sb 0.5000 0.5000 0.1868
6 Rb 0.0000 0.0000 0.0000
7 Mg 0.5000 0.0000 0.3334
8 Sb 0.0000 0.0000 0.5000

24.
Entry from the Open Quantum Materials Database: crystalline BaPaCo at its relaxed geometry (PBE).

E above lowest polymorph ... 0.0 meV per atom
Calculated total energy ... -5.37 eV/atom

abc: 4.8248 4.8248 4.8248
angles: 60.00 60.00 60.00
Atoms (fractional coordinates):
1 Ba 0.2500 0.2500 0.2500
2 Pa 0.7500 0.7500 0.7500
3 Co 0.0000 0.0000 0.0000

25.
Entry from the Open Quantum Materials Database: crystalline CdSi2W at its relaxed geometry (PBE).

Calculated total energy ... -5.25 eV/atom

abc: 4.5325 4.5325 4.5325
angles: 60.00 60.00 60.00
Atoms (fractional coordinates):
1 Si 0.0000 0.0000 0.0000
2 W 0.7500 0.7500 0.7500
3 Cd 0.5000 0.5000 0.5000
4 Si 0.2500 0.2500 0.2500

26.
Entry from the Open Quantum Materials Database: crystalline MgScCdCu at its relaxed geometry (PBE).

E above lowest polymorph ... 67.2 meV per atom
Calculated total energy ... -3.26 eV/atom

abc: 4.6814 4.6814 4.6814
angles: 60.00 60.00 60.00
Atoms (fractional coordinates):
1 Cu 0.2500 0.2500 0.2500
2 Mg 0.7500 0.7500 0.7500
3 Sc 0.0000 0.0000 0.0000
4 Cd 0.5000 0.5000 0.5000